Record 1
Computed, not measured: a geometry-optimized Ce6Pt23 structure at the GGA-PBE level of DFT.

Fermi-level density of states: 122.52 states/eV/cell
Energy of formation: -21.351 eV/f.u.
V: 549.12 Å³/f.u.

Unit cell a=12.9989 b=12.9989 c=12.9989 alpha=90.00 beta=90.00 gamma=90.00
Closest atoms and distances in Å follow each position.
Space group Fm-3m (No. 225)
Asymmetric unit:
Ce: 0.0000 0.0000 0.2260 x24  12 Pt 2.99-3.26
Pt: 0.0000 0.0000 0.5000 x4  8 Pt 2.75
Pt: 0.0000 0.2500 0.2500 x24  8 Pt 2.65-2.84
Pt: 0.1222 0.1222 0.3778 x32  7 Pt 2.75-2.86, 3 Ce 2.99
Pt: 0.1665 0.1665 0.1665 x32  6 Pt 2.65-2.86



Record 2
Computed, not measured: a geometry-optimized Ce3Pt structure at the GGA-PBE level of DFT.

Fermi-level density of states: 20.95 states/eV/cell
Energy of formation: -1.540 eV/f.u.
V: 94.92 Å³/f.u.

Unit cell a=4.2864 b=4.2864 c=10.3324 alpha=90.00 beta=90.00 gamma=90.00
Closest atoms and distances in Å follow each position.
Space group I4/mmm (No. 139)
Asymmetric unit:
Ce: 0.0000 0.0000 0.0000 x2  4 Pt 3.03, 8 Ce 3.36
Ce: 0.0000 0.5000 0.2500 x4  8 Ce 3.03-3.36, 4 Pt 3.36
Pt: 0.0000 0.0000 0.5000 x2  12 Ce 3.03-3.36



Record 3
Computed, not measured: a geometry-optimized Ce6PuPt structure at the GGA-PBE level of DFT.

Fermi-level density of states: 67.67 states/eV/cell
Energy of formation: -2.318 eV/f.u.
V: 212.36 Å³/f.u.

Unit cell a=9.8420 b=7.7756 c=11.1489 alpha=90.00 beta=95.38 gamma=90.00
Closest atoms and distances in Å follow each position.
Space group C2/c (No. 15)
Asymmetric unit:
Ce: 0.0290 0.1367 0.4082 x8  1 Pu 2.48
Ce: 0.1597 0.4525 0.9819 x8  1 Pu 2.48
Ce: 0.1770 0.2267 0.7060 x8  1 Pu 2.48
Pu: 0.2500 0.2500 0.5000 x4  6 Ce 2.48
Pt: 0.0000 0.4553 0.2500 x4  6 Ce 2.98-3.09



Record 4
Computed, not measured: a geometry-optimized CePu5Pt5 structure at the GGA-PBE level of DFT.

Fermi-level density of states: 104.47 states/eV/cell
Energy of formation: -7.221 eV/f.u.
V: 289.15 Å³/f.u.

Unit cell a=12.9625 b=5.7604 c=8.1422 alpha=90.00 beta=107.97 gamma=90.00
Closest atoms and distances in Å follow each position.
Space group C2/m (No. 12)
Asymmetric unit:
Ce: 0.0000 0.0000 0.0000 x2  6 Pt 2.88-2.92
Pu: 0.0000 0.0000 0.5000 x2  4 Pt 2.85-2.86
Pu: 0.1657 0.5000 0.3338 x4  5 Pt 2.88-2.90
Pu: 0.1706 0.5000 0.8389 x4  5 Pt 2.88-2.90
Pt: 0.0000 0.5000 0.0000 x2  2 Ce 2.88, 4 Pu 2.90
Pt: 0.1640 0.0000 0.8265 x4  5 Pu 2.85-2.90, 1 Ce 2.89
Pt: 0.1664 0.0000 0.3370 x4  5 Pu 2.86-2.89, 1 Ce 2.92



Record 5
Computed, not measured: a geometry-optimized Ce2PuPt9 structure at the GGA-PBE level of DFT.

Fermi-level density of states: 75.02 states/eV/cell
Energy of formation: -9.908 eV/f.u.
V: 228.79 Å³/f.u.

Unit cell a=5.4317 b=5.4317 c=26.8634 alpha=90.00 beta=90.00 gamma=120.00
Closest atoms and distances in Å follow each position.
Space group R-3m (No. 166, hexagonal axes)
Asymmetric unit:
Ce: 0.0000 0.0000 0.1385 x6  12 Pt 3.08-3.34
Pu: 0.0000 0.0000 0.0000 x3  6 Pt 3.14
Pt: 0.0000 0.0000 0.3327 x6  6 Pt 2.74-2.79
Pt: 0.0000 0.0000 0.5000 x3  6 Pt 2.71
Pt: 0.0033 0.5016 0.9153 x18  7 Pt 2.69-2.79



Record 6
Computed, not measured: a geometry-optimized Ce3PuPt8 structure at the GGA-PBE level of DFT.

Fermi-level density of states: 63.93 states/eV/cell
Energy of formation: -11.991 eV/f.u.
V: 233.03 Å³/f.u.

Unit cell a=5.4799 b=5.4799 c=26.8822 alpha=90.00 beta=90.00 gamma=120.00
Closest atoms and distances in Å follow each position.
Space group R3m (No. 160, hexagonal axes)
Asymmetric unit:
Ce: 0.0000 0.0000 0.0000 x3  12 Pt 3.13-3.28, 3 Pu 3.30, 1 Ce 3.41
Ce: 0.0000 0.0000 0.1269 x3  12 Pt 3.18-3.26, 4 Ce 3.41-3.42
Ce: 0.0000 0.0000 0.5082 x3  12 Pt 3.15-3.30, 1 Pu 3.31, 3 Ce 3.42
Pu: 0.0000 0.0000 0.6315 x3  12 Pt 3.17-3.25, 4 Ce 3.30-3.31
Pt: 0.0000 0.0000 0.3165 x3  6 Pt 2.75
Pt: 0.0000 0.0000 0.8165 x3  6 Pt 2.73-2.74
Pt: 0.0007 0.5003 0.0669 x9  6 Pt 2.73-2.75
Pt: 0.1673 0.3346 0.8995 x9  6 Pt 2.73-2.75



Record 7
Computed, not measured: a geometry-optimized Ce7PuPt2 structure at the GGA-PBE level of DFT.

Fermi-level density of states: 64.16 states/eV/cell
Energy of formation: -0.546 eV/f.u.
V: 314.16 Å³/f.u.

Unit cell a=8.6024 b=13.5086 c=5.4070 alpha=90.00 beta=90.00 gamma=90.00
Closest atoms and distances in Å follow each position.
Space group Cmmm (No. 65)
Asymmetric unit:
Ce: 0.0000 0.0000 0.0000 x2  2 Pt 2.70
Ce: 0.0000 0.2315 0.5000 x4  2 Pt 2.74
Ce: 0.1650 0.3957 0.0000 x8  2 Ce 2.82-2.84, 1 Pt 3.00
Pu: 0.0000 0.5000 0.5000 x2  10 Ce 3.36-3.63
Pt: 0.0000 0.2000 0.0000 x4  5 Ce 2.70-3.00



Record 8
Computed, not measured: a geometry-optimized Ce5PuPt2 structure at the GGA-PBE level of DFT.

Fermi-level density of states: 70.09 states/eV/cell
Energy of formation: -2.767 eV/f.u.
V: 194.42 Å³/f.u.

Unit cell a=17.0420 b=6.4118 c=7.2861 alpha=90.00 beta=102.36 gamma=90.00
Closest atoms and distances in Å follow each position.
Space group C2/c (No. 15)
Asymmetric unit:
Ce: 0.0000 0.2236 0.2500 x4  2 Pu 2.54
Ce: 0.0897 0.2305 0.7327 x8  1 Pu 2.66, 1 Pt 2.90
Ce: 0.1861 0.3554 0.1564 x8  4 Pt 2.93-3.07, 2 Ce 3.23-3.27, 1 Pu 3.27
Pu: 0.0000 0.5000 0.0000 x4  4 Ce 2.54-2.66
Pt: 0.1899 0.0809 0.4856 x8  6 Ce 2.90-3.07, 1 Pt 2.96



Record 9
Computed, not measured: a geometry-optimized Ce3PuPt3 structure at the GGA-PBE level of DFT.

Fermi-level density of states: 176.73 states/eV/cell
Energy of formation: -5.304 eV/f.u.
V: 187.38 Å³/f.u.

Unit cell a=16.8259 b=8.1183 c=10.9740 alpha=90.00 beta=90.00 gamma=90.00
Closest atoms and distances in Å follow each position.
Space group Cmce (No. 64)
Asymmetric unit:
Ce: 0.0000 0.1434 0.1568 x8  5 Pt 2.86-3.09
Ce: 0.1717 0.1564 0.8712 x16  5 Pt 2.86-2.97
Pu: 0.1063 0.0000 0.5000 x8  4 Pt 3.02-3.04, 2 Ce 3.31
Pt: 0.0000 0.2290 0.8998 x8  5 Ce 2.86-3.09, 2 Pu 3.04
Pt: 0.1702 0.2016 0.1324 x16  5 Ce 2.86-2.92, 1 Pu 3.02



Record 10
Computed, not measured: a geometry-optimized CePuPt structure at the GGA-PBE level of DFT.

Fermi-level density of states: 15.82 states/eV/cell
Energy of formation: -1.990 eV/f.u.
V: 73.12 Å³/f.u.

Unit cell a=4.0750 b=4.4168 c=8.1248 alpha=90.00 beta=90.00 gamma=90.00
Closest atoms and distances in Å follow each position.
Space group Pmmn (No. 59, origin choice 2)
Asymmetric unit:
Ce: 0.2500 0.2500 0.1476 x2  5 Pt 2.90-3.05
Pu: 0.2500 0.7500 0.4846 x2  4 Pu 3.02, 4 Pt 3.02-3.32
Pt: 0.2500 0.2500 0.7906 x2  5 Ce 2.90-3.05, 2 Pu 3.02



Record 11
Computed, not measured: a geometry-optimized Ce2Pu3Pt3 structure at the GGA-PBE level of DFT.

Fermi-level density of states: 40.36 states/eV/cell
Energy of formation: -4.803 eV/f.u.
V: 175.14 Å³/f.u.

Unit cell a=3.5032 b=5.3569 c=18.6652 alpha=90.00 beta=90.00 gamma=90.00
Closest atoms and distances in Å follow each position.
Space group Immm (No. 71)
Asymmetric unit:
Ce: 0.0000 0.0000 0.2417 x4  2 Pu 2.83, 2 Pt 2.90
Pu: 0.0000 0.0000 0.5000 x2  8 Pt 3.06-3.20
Pu: 0.0000 0.5000 0.3771 x4  2 Ce 2.83, 2 Pt 2.89
Pt: 0.0000 0.0000 0.0000 x2  8 Pu 2.89-3.20
Pt: 0.0000 0.5000 0.1343 x4  2 Ce 2.90, 6 Pu 3.06-3.21



Record 12
Computed, not measured: a geometry-optimized CePuPt6 structure at the GGA-PBE level of DFT.

Fermi-level density of states: 20.01 states/eV/cell
Energy of formation: -6.741 eV/f.u.
V: 144.64 Å³/f.u.

Unit cell a=4.1645 b=4.1645 c=8.3397 alpha=90.00 beta=90.00 gamma=90.00
Closest atoms and distances in Å follow each position.
Space group P4/mmm (No. 123)
Asymmetric unit:
Ce: 0.0000 0.0000 0.0000 x1  12 Pt 2.94
Pu: 0.0000 0.0000 0.5000 x1  12 Pt 2.94-2.96
Pt: 0.0000 0.5000 0.2481 x4  2 Ce 2.94, 8 Pt 2.94-2.96, 2 Pu 2.96
Pt: 0.5000 0.5000 0.0000 x1  8 Pt 2.94, 4 Ce 2.94
Pt: 0.5000 0.5000 0.5000 x1  4 Pu 2.94, 8 Pt 2.96



Record 13
Computed, not measured: a geometry-optimized CePu2Pt3 structure at the GGA-PBE level of DFT.

Fermi-level density of states: 44.29 states/eV/cell
Energy of formation: -4.996 eV/f.u.
V: 132.24 Å³/f.u.

Unit cell a=4.9787 b=14.9161 c=3.5615 alpha=90.00 beta=90.00 gamma=90.00
Closest atoms and distances in Å follow each position.
Space group Cmmm (No. 65)
Asymmetric unit:
Ce: 0.0000 0.0000 0.0000 x2  8 Pt 3.00-3.06
Pu: 0.0000 0.3302 0.0000 x4  8 Pt 3.06-3.10
Pt: 0.0000 0.1621 0.5000 x4  2 Ce 3.00, 6 Pu 3.06-3.07
Pt: 0.0000 0.5000 0.5000 x2  4 Ce 3.06, 4 Pu 3.10



Record 14
Computed, not measured: a geometry-optimized CePuPt2 structure at the GGA-PBE level of DFT.

Fermi-level density of states: 12.12 states/eV/cell
Energy of formation: -3.518 eV/f.u.
V: 88.64 Å³/f.u.

Unit cell a=3.5494 b=3.5494 c=7.0360 alpha=90.00 beta=90.00 gamma=90.00
Closest atoms and distances in Å follow each position.
Space group P4/mmm (No. 123)
Asymmetric unit:
Ce: 0.0000 0.0000 0.0000 x1  8 Pt 3.06
Pu: 0.0000 0.0000 0.5000 x1  8 Pt 3.07
Pt: 0.5000 0.5000 0.2486 x2  4 Ce 3.06, 4 Pu 3.07



Record 15
Computed, not measured: a geometry-optimized CePuPt structure at the GGA-PBE level of DFT.

Fermi-level density of states: 27.25 states/eV/cell
Energy of formation: -1.730 eV/f.u.
V: 65.18 Å³/f.u.

Unit cell a=4.6835 b=11.0417 c=5.0416 alpha=90.00 beta=90.00 gamma=90.00
Closest atoms and distances in Å follow each position.
Space group Cmcm (No. 63)
Asymmetric unit:
Ce: 0.0000 0.0806 0.2500 x4  2 Pu 2.86, 2 Pt 2.96, 2 Ce 3.09
Pu: 0.0000 0.2702 0.7500 x4  2 Ce 2.86, 4 Pt 2.99-3.12
Pt: 0.0000 0.4163 0.2500 x4  2 Ce 2.96, 4 Pu 2.99-3.12, 2 Pt 3.13



Record 16
Computed, not measured: a geometry-optimized CePuPt structure at the GGA-PBE level of DFT.

Fermi-level density of states: 20.53 states/eV/cell
Energy of formation: -0.967 eV/f.u.
V: 61.85 Å³/f.u.

Unit cell a=3.2498 b=3.2498 c=23.4240 alpha=90.00 beta=90.00 gamma=90.00
Closest atoms and distances in Å follow each position.
Space group I4/mmm (No. 139)
Asymmetric unit:
Ce: 0.0000 0.0000 0.0582 x4  1 Ce 2.73, 4 Pt 2.99
Pu: 0.0000 0.0000 0.2278 x4  4 Pu 2.52
Pt: 0.0000 0.0000 0.3599 x4  4 Ce 2.99, 5 Pu 3.08-3.10, 4 Pt 3.25



Record 17
Computed, not measured: a geometry-optimized Ce2PuPt2 structure at the GGA-PBE level of DFT.

Fermi-level density of states: 28.64 states/eV/cell
Energy of formation: -4.066 eV/f.u.
V: 121.91 Å³/f.u.

Unit cell a=7.8619 b=7.8619 c=3.9446 alpha=90.00 beta=90.00 gamma=90.00
Closest atoms and distances in Å follow each position.
Space group P4/mbm (No. 127)
Asymmetric unit:
Ce: 0.1674 0.3326 0.0000 x4  6 Pt 2.97-3.09
Pu: 0.0000 0.0000 0.5000 x2  4 Pt 3.07
Pt: 0.1332 0.6332 0.5000 x4  1 Pt 2.96, 6 Ce 2.97-3.09, 2 Pu 3.07



Record 18
Computed, not measured: a geometry-optimized Ce3PuPt12 structure at the GGA-PBE level of DFT.

Fermi-level density of states: 23.90 states/eV/cell
Energy of formation: -14.654 eV/f.u.
V: 289.55 Å³/f.u.

Unit cell a=4.1671 b=4.1671 c=16.6749 alpha=90.00 beta=90.00 gamma=90.00
Closest atoms and distances in Å follow each position.
Space group P4/mmm (No. 123)
Asymmetric unit:
Ce: 0.0000 0.0000 0.0000 x1  12 Pt 2.95
Ce: 0.0000 0.0000 0.2510 x2  12 Pt 2.92-2.96
Pu: 0.0000 0.0000 0.5000 x1  12 Pt 2.95-2.96
Pt: 0.0000 0.5000 0.1250 x4  8 Pt 2.94-2.95, 4 Ce 2.95-2.96
Pt: 0.0000 0.5000 0.3740 x4  2 Ce 2.92, 8 Pt 2.94-2.96, 2 Pu 2.96
Pt: 0.5000 0.5000 0.0000 x1  4 Ce 2.95, 8 Pt 2.95
Pt: 0.5000 0.5000 0.2497 x2  8 Pt 2.94, 4 Ce 2.95
Pt: 0.5000 0.5000 0.5000 x1  4 Pu 2.95, 8 Pt 2.96



Record 19
Computed, not measured: a geometry-optimized CePuPt structure at the GGA-PBE level of DFT.

Fermi-level density of states: 15.25 states/eV/cell
Energy of formation: -1.817 eV/f.u.
V: 66.91 Å³/f.u.

Unit cell a=3.6401 b=3.6401 c=10.0989 alpha=90.00 beta=90.00 gamma=90.00
Closest atoms and distances in Å follow each position.
Space group I4mm (No. 107)
Asymmetric unit:
Ce: 0.0000 0.0000 0.0000 x2  4 Pt 3.04, 5 Pu 3.14-3.25
Pu: 0.0000 0.0000 0.6784 x2  4 Pt 3.05, 5 Ce 3.14-3.25
Pt: 0.0000 0.0000 0.3399 x2  4 Ce 3.04, 4 Pu 3.05



Record 20
Computed, not measured: a geometry-optimized Ce3Pu2Pt3 structure at the GGA-PBE level of DFT.

Fermi-level density of states: 64.61 states/eV/cell
Energy of formation: -5.171 eV/f.u.
V: 177.87 Å³/f.u.

Unit cell a=4.6429 b=10.4564 c=14.6549 alpha=90.00 beta=90.00 gamma=90.00
Closest atoms and distances in Å follow each position.
Space group Cmcm (No. 63)
Asymmetric unit:
Ce: 0.0000 0.0411 0.2500 x4  7 Pt 3.01-3.29, 2 Pu 3.24
Ce: 0.0000 0.1324 0.5305 x8  3 Pu 2.87-3.06, 1 Ce 2.91, 3 Pt 3.00-3.16
Pu: 0.0000 0.3070 0.1367 x8  3 Ce 2.87-3.06, 3 Pt 2.91
Pt: 0.0000 0.2472 0.7500 x4  4 Pu 2.91, 2 Pt 2.93, 3 Ce 3.01-3.21
Pt: 0.0000 0.4215 0.5931 x8  1 Pu 2.91, 2 Pt 2.93-3.19, 3 Ce 3.00-3.16



Record 21
Computed, not measured: a geometry-optimized Ce3PuPt structure at the GGA-PBE level of DFT.

Fermi-level density of states: 74.99 states/eV/cell
Energy of formation: -1.807 eV/f.u.
V: 124.71 Å³/f.u.

Unit cell a=16.5275 b=7.3327 c=11.1488 alpha=90.00 beta=132.41 gamma=90.00
Closest atoms and distances in Å follow each position.
Space group C2/c (No. 15)
Asymmetric unit:
Ce: 0.0960 0.2109 0.1442 x8  1 Pu 2.48
Ce: 0.1313 0.4449 0.4630 x8  1 Pu 2.50
Ce: 0.1336 0.3059 0.7462 x8  1 Pu 2.50
Pu: 0.0000 0.0754 0.7500 x4  2 Ce 2.80, 2 Pt 2.88
Pu: 0.0000 0.5000 0.0000 x4  6 Ce 2.48-2.50
Pt: 0.1862 0.0682 0.5636 x8  1 Pu 2.88, 5 Ce 2.89-3.22